Arrangement 1

VASP calculation (PBE) on an optimized crystal structure of AlTlNi2.

```
AlTlNi2
1.0
-1.8618 1.8618 4.2328
1.8618 -1.8618 4.2328
1.8618 1.8618 -4.2328
Al Tl Ni
1 1 2
Direct
0.0000 0.0000 0.0000 Al
0.7500 0.2500 0.5000 Tl
0.2500 0.7500 0.5000 Ni
0.5000 0.5000 0.0000 Ni
```

Computed properties:
Volume (Å³/cell): 58.7


Arrangement 2

VASP calculation (PBE) on an optimized crystal structure of AlTlNi2.

```
AlTlNi2
1.0
1.5277 0.8820 8.0326
-1.5277 0.8820 8.0326
0.0000 -1.7640 8.0326
Al Tl Ni
1 1 2
Direct
0.0000 0.0000 0.0000 Al
0.7718 0.7718 0.7718 Tl
0.2652 0.2652 0.2652 Ni
0.5264 0.5264 0.5264 Ni
```

Computed properties:
Volume (Å³/cell): 64.9


Least stable structure: arrangement 2


Arrangement 1

VASP calculation (PBE) on an optimized crystal structure of AlTlNi2.

```
AlTlNi2
1.0
0.0000 3.0943 3.0943
3.0943 0.0000 3.0943
3.0943 3.0943 0.0000
Al Tl Ni
1 1 2
Direct
0.0000 0.0000 0.0000 Al
0.2500 0.2500 0.2500 Tl
0.5000 0.5000 0.5000 Ni
0.7500 0.7500 0.7500 Ni
```

Computed properties:
Volume (Å³/cell): 59.3


Arrangement 2

VASP calculation (PBE) on an optimized crystal structure of AlTlNi2.

```
AlTlNi2
1.0
3.1508 0.0000 0.0000
0.0000 3.1508 0.0000
0.0000 0.0000 6.2284
Al Tl Ni
1 1 2
Direct
0.0000 0.0000 0.0000 Al
0.5000 0.5000 0.6363 Tl
0.0000 0.0000 0.3833 Ni
0.5000 0.5000 0.1571 Ni
```

Computed properties:
Volume (Å³/cell): 61.8


Least stable structure: arrangement 1


Arrangement 1

VASP calculation (PBE) on an optimized crystal structure of AlTlNi.

```
AlTlNi
1.0
3.1602 0.0000 0.0000
-1.5801 2.7368 0.0000
0.0000 0.0000 6.3024
Al Tl Ni
1 1 1
Direct
0.0000 0.0000 0.0000 Al
0.3333 0.6667 0.5902 Tl
0.6667 0.3333 0.2498 Ni
```

Computed properties:
Volume (Å³/cell): 54.5


Arrangement 2

VASP calculation (PBE) on an optimized crystal structure of AlTlNi.

```
AlTlNi
1.0
0.0000 3.0300 3.0300
3.0300 0.0000 3.0300
3.0300 3.0300 0.0000
Al Tl Ni
1 1 1
Direct
0.0000 0.0000 0.0000 Al
0.5000 0.5000 0.5000 Tl
0.2500 0.2500 0.2500 Ni
```

Computed properties:
Volume (Å³/cell): 55.6


Arrangement 3

VASP calculation (PBE) on an optimized crystal structure of AlTlNi.

```
AlTlNi
1.0
0.0000 3.1008 3.1008
3.1008 0.0000 3.1008
3.1008 3.1008 0.0000
Al Tl Ni
1 1 1
Direct
0.0000 0.0000 0.0000 Al
0.7500 0.7500 0.7500 Tl
0.5000 0.5000 0.5000 Ni
```

Computed properties:
Volume (Å³/cell): 59.6


Least stable structure: arrangement 3


Arrangement 1

VASP calculation (PBE) on an optimized crystal structure of AlTlNi3.

```
AlTlNi3
1.0
4.6981 0.0000 0.0000
0.0000 4.6981 0.0000
0.0000 0.0000 4.6981
Al Tl Ni
1 1 3
Direct
0.0000 0.0000 0.0000 Al
0.5000 0.5000 0.5000 Tl
0.0000 0.5000 0.5000 Ni
0.5000 0.0000 0.5000 Ni
0.5000 0.5000 0.0000 Ni
```

Computed properties:
Volume (Å³/cell): 103.7


Arrangement 2

VASP calculation (PBE) on an optimized crystal structure of AlTlNi3.

```
AlTlNi3
1.0
4.3454 0.0000 0.0000
0.0000 4.3454 0.0000
0.0000 0.0000 4.3454
Al Tl Ni
1 1 3
Direct
0.0000 0.0000 0.0000 Al
0.5000 0.5000 0.5000 Tl
0.0000 0.0000 0.5000 Ni
0.0000 0.5000 0.0000 Ni
0.5000 0.0000 0.0000 Ni
```

Computed properties:
Volume (Å³/cell): 82.1


Least stable structure: arrangement 1


Arrangement 1

VASP calculation (PBE) on an optimized crystal structure of Al3TlNi.

```
Al3TlNi
1.0
4.6214 0.0000 0.0000
0.0000 4.6214 0.0000
0.0000 0.0000 4.6214
Al Tl Ni
3 1 1
Direct
0.0000 0.0000 0.5000 Al
0.0000 0.5000 0.0000 Al
0.5000 0.0000 0.0000 Al
0.5000 0.5000 0.5000 Tl
0.0000 0.0000 0.0000 Ni
```

Computed properties:
Volume (Å³/cell): 98.7


Arrangement 2

VASP calculation (PBE) on an optimized crystal structure of Al3TlNi.

```
Al3TlNi
1.0
5.1651 0.0000 0.0000
0.0000 5.1651 0.0000
0.0000 0.0000 5.1651
Al Tl Ni
3 1 1
Direct
0.0000 0.0000 0.5000 Al
0.0000 0.5000 0.0000 Al
0.5000 0.0000 0.0000 Al
0.0000 0.0000 0.0000 Tl
0.5000 0.5000 0.5000 Ni
```

Computed properties:
Volume (Å³/cell): 137.8


Least stable structure: arrangement 2


Arrangement 1

VASP calculation (PBE) on an optimized crystal structure of Tm3AlNi3.

```
Tm3AlNi3
1.0
2.0324 -4.9122 0.0000
2.0324 4.9122 0.0000
0.0000 0.0000 13.0156
Tm Al Ni
6 2 6
Direct
0.0073 0.9927 0.7500 Tm
0.2898 0.7102 0.6049 Tm
0.2898 0.7102 0.8951 Tm
0.7102 0.2898 0.1049 Tm
0.7102 0.2898 0.3951 Tm
0.9927 0.0073 0.2500 Tm
0.0000 0.0000 0.0000 Al
0.0000 0.0000 0.5000 Al
0.2867 0.7133 0.2500 Ni
0.4215 0.5785 0.0894 Ni
0.4215 0.5785 0.4106 Ni
0.5785 0.4215 0.5894 Ni
0.5785 0.4215 0.9106 Ni
0.7133 0.2867 0.7500 Ni
```

Computed properties:
Volume (Å³/cell): 259.9


Arrangement 2

VASP calculation (PBE) on an optimized crystal structure of Tm3AlNi3.

```
Tm3AlNi3
1.0
8.5418 0.0000 0.0000
-4.2709 7.3974 0.0000
0.0000 0.0000 4.3291
Tm Al Ni
6 2 6
Direct
0.0815 0.6821 0.2500 Tm
0.3179 0.3993 0.2500 Tm
0.3993 0.0815 0.7500 Tm
0.6007 0.9185 0.2500 Tm
0.6821 0.6007 0.7500 Tm
0.9185 0.3179 0.7500 Tm
0.3333 0.6667 0.7500 Al
0.6667 0.3333 0.2500 Al
0.0346 0.8542 0.7500 Ni
0.1458 0.1804 0.7500 Ni
0.1804 0.0346 0.2500 Ni
0.8196 0.9654 0.7500 Ni
0.8542 0.8196 0.2500 Ni
0.9654 0.1458 0.2500 Ni
```

Computed properties:
Volume (Å³/cell): 273.5


Least stable structure: arrangement 2